# 1
Here is a relaxed structure of MnZn3Mo from the Alexandria database. Energies are from PBE.

theoretical density: 6.33 g/cm³
excess energy over the best structure of this formula in the dataset: 0.000 eV/atom
total magnetic moment: 0.9864 μB/atom
energy: -18.108 eV per formula unit

extended XYZ file:
```
5
Lattice="4.500 0.000 0.000 0.000 4.500 0.000 0.000 0.000 4.500" Properties=species:S:1:pos:R:3 pbc="T T T"
Mn 0.000 0.000 0.000
Zn 0.000 0.000 2.250
Zn 0.000 2.250 0.000
Zn 2.250 0.000 0.000
Mo 2.250 2.250 2.250
```


# 2
Here is a relaxed structure of CsTh2US8 from the Alexandria database. Energies are from PBE.

theoretical density: 5.71 g/cm³
total magnetic moment: 0.0574 μB/atom
ΔE_f (raw): -1.4483 eV per atom
energy: -77.381 eV per formula unit

extended XYZ file:
```
12
Lattice="5.246 0.000 0.000 -0.670 7.279 0.000 -2.322 -0.281 8.316" Properties=species:S:1:pos:R:3 pbc="T T T"
Cs 0.000 0.000 0.000
Th 0.054 3.135 5.770
Th 2.200 3.863 2.547
U 1.462 -0.141 4.158
S -0.450 4.818 3.422
S -1.490 3.486 8.272
S 0.226 1.776 2.965
S 0.142 0.401 6.219
S 2.112 6.597 2.097
S 2.028 5.221 5.352
S 3.744 3.512 0.044
S 2.705 2.180 4.894
```


# 3
Here is a relaxed structure of LaSi3Pd6 from the Alexandria database. Energies are from PBE.

theoretical density: 8.38 g/cm³
total magnetic moment: 0.0000 μB/atom
ΔE_f (raw): -0.6987 eV per atom
energy: -59.340 eV per formula unit

extended XYZ file:
```
10
Lattice="5.626 0.000 0.000 2.580 5.049 0.000 2.662 1.677 6.014" Properties=species:S:1:pos:R:3 pbc="T T T"
La 0.000 0.000 0.000
Si 2.518 1.572 2.977
Si 5.620 3.371 5.326
Si 7.890 4.876 5.265
Pd 4.149 4.467 3.733
Pd 4.052 2.622 1.362
Pd 5.438 5.038 1.140
Pd 5.051 1.599 3.739
Pd 6.982 3.707 3.352
Pd 6.889 2.492 0.863
```